Entry 1:
Here is La6MgCo after structural relaxation from the Alexandria database. Energies are from PBE.

Lattice parameters (Å, degrees): 6.9833 7.0003 7.6902 90.14 116.77 119.84
Space group P-1 (No. 2)
One atom of each set of equivalent atoms:
La  0.0740  0.0794  0.2486 (multiplicity 2)
La  0.2551  0.6755  0.2492 (multiplicity 2)
La  0.3271  0.5047  0.7503 (multiplicity 2)
Mg  0.5000  0.0000  0.0000 (multiplicity 1)
Co  0.5000  0.5000  0.5000 (multiplicity 1)

ΔE_f	100.7	meV/atom
spin magnetization	0.000	μB/cell
theoretical density	5467	kg/m³

---

Entry 2:
Here is OsBrCl after structural relaxation from the Alexandria database. Energies are from PBE.

Lattice parameters (Å, degrees): 3.1691 3.1691 12.4962 90.00 90.00 90.00
Space group I4mm (No. 107)
One atom of each set of equivalent atoms:
Os  0.0000  0.0000  0.0000 (multiplicity 2)
Br  0.0000  0.0000  0.6016 (multiplicity 2)
Cl  0.0000  0.0000  0.3541 (multiplicity 2)

relative energy among the computed polymorphs	2.086	eV per formula unit
uncorrected formation energy	0.9956	eV/atom
spin magnetization	0.004	μB/cell
theoretical density	8087	kg/m³

---

Entry 3:
Here is La2InCo after structural relaxation from the Alexandria database. Energies are from PBE.

Lattice parameters (Å, degrees): 5.2989 5.2989 3.8708 90.00 90.00 90.00
Space group P4/mmm (No. 123)
One atom of each set of equivalent atoms:
La  0.0000  0.5000  0.0000 (multiplicity 2)
In  0.0000  0.0000  0.5000 (multiplicity 1)
Co  0.5000  0.5000  0.5000 (multiplicity 1)

ΔE_f	-89.4	meV/atom
spin magnetization	0.590	μB/cell
theoretical density	6899	kg/m³

---

Entry 4:
Here is KBi2F8 after structural relaxation from the Alexandria database. Energies are from PBE.

Lattice parameters (Å, degrees): 10.9701 7.1942 4.5225 90.00 90.45 90.00
Space group C2/m (No. 12)
One atom of each set of equivalent atoms:
K  0.0000  0.0000  0.0000 (multiplicity 2)
Bi  0.1812  0.5000  0.5006 (multiplicity 4)
F  0.0007  0.5000  0.7534 (multiplicity 4)
F  0.1386  0.1883  0.4950 (multiplicity 8)
F  0.2352  0.5000  0.0023 (multiplicity 4)

relative energy among the computed polymorphs	0.346	eV per formula unit
uncorrected formation energy	-2.3623	eV/atom
spin magnetization	0.472	μB/cell
theoretical density	5667	kg/m³

---

Entry 5:
Here is Na2HoScSe4 after structural relaxation from the Alexandria database. Energies are from PBE.

Lattice parameters (Å, degrees): 6.9935 4.0403 7.3604 90.00 108.47 90.00
Space group P2/m (No. 10)
One atom of each set of equivalent atoms:
Na  0.0000  0.0000  0.0000 (multiplicity 1)
Na  0.5000  0.5000  0.0000 (multiplicity 1)
Ho  0.0000  0.5000  0.5000 (multiplicity 1)
Sc  0.5000  0.0000  0.5000 (multiplicity 1)
Se  0.2518  0.0000  0.7261 (multiplicity 2)
Se  0.2693  0.5000  0.2794 (multiplicity 2)

uncorrected formation energy	-1.6387	eV/atom
spin magnetization	0.000	μB/cell
theoretical density	4813	kg/m³

---

Entry 6:
Here is Tl2Sn2Au after structural relaxation from the Alexandria database. Energies are from PBE.

Lattice parameters (Å, degrees): 4.1816 4.1816 16.6876 90.00 90.00 90.00
Space group I4/mmm (No. 139)
One atom of each set of equivalent atoms:
Tl  0.0000  0.5000  0.2500 (multiplicity 4)
Sn  0.0000  0.0000  0.0867 (multiplicity 4)
Au  0.0000  0.0000  0.5000 (multiplicity 2)

relative energy among the computed polymorphs	1.469	eV per formula unit
ΔE_f	258.4	meV/atom
spin magnetization	0.000	μB/cell
theoretical density	9596	kg/m³

---

no.,energy (eV per cell)
1,-37.46
2,-23.52
3,-20.06
4,-99.63
5,-40.59
6,-29.45